Compound: Tl2IrCl
Source: the Alexandria database
Functional: GGA-PBE
Structure: relaxed

Output
The formation energy from raw total energies is 0.28 eV per atom. For the total moment, the calculation gives 0.000 μB/f.u. Its theoretical density is 7.656 g cm⁻³. The volume comes out at 34.51 A^3/atom. Its energy above the most stable polymorph in this dataset is 197 meV/atom.

a b c (Å): 6.3317 6.3317 13.7737
angles (deg): 90.00 90.00 90.00
Space group I-42d (No. 122)
Symmetry-distinct sites (fractional):
Tl1 0.1909 0.2500 0.1250 (multiplicity 8)
Ir1 0.0000 0.0000 0.0000 (multiplicity 4)
Cl1 0.0000 0.0000 0.5000 (multiplicity 4)

***

Compound: Mn3Be8Re
Source: the Alexandria database
Functional: GGA-PBE
Structure: relaxed

Output
For the total moment, the calculation gives 2.473 μB/f.u. Its theoretical density is 6.616 g cm⁻³. The volume comes out at 8.85 A^3/atom. The energy of formation from the pure elements comes out at -0.293 eV/atom.

a b c (Å): 4.2212 4.2212 6.8819
angles (deg): 90.00 90.00 120.00
Space group P3m1 (No. 156)
Symmetry-distinct sites (fractional):
Mn1 0.0000 0.0000 0.0000 (multiplicity 1)
Mn2 0.0000 0.0000 0.3796 (multiplicity 1)
Mn3 0.3333 0.6667 0.8741 (multiplicity 1)
Be1 0.0066 0.5033 0.1838 (multiplicity 3)
Be2 0.3268 0.1634 0.6950 (multiplicity 3)
Be3 0.6667 0.3333 0.4377 (multiplicity 1)
Be4 0.6667 0.3333 0.9418 (multiplicity 1)
Re1 0.3333 0.6667 0.5006 (multiplicity 1)

***

Compound: PmDy3Tm5
Source: the Alexandria database
Functional: GGA-PBE
Structure: relaxed

Output
For the total moment, the calculation gives 0.000 μB/f.u. Its theoretical density is 8.788 g cm⁻³. The volume comes out at 31.01 A^3/atom. The energy of formation from the pure elements comes out at 0.069 eV/atom. Its energy above the most stable polymorph in this dataset is 0 meV/atom.

a b c (Å): 16.7149 9.6087 6.9512
angles (deg): 90.00 90.00 90.00
Space group Cmcm (No. 63)
Symmetry-distinct sites (fractional):
Pm1 0.0000 0.1887 0.2500 (multiplicity 4)
Dy1 0.0000 0.5000 0.0000 (multiplicity 4)
Dy2 0.1702 0.0000 0.0000 (multiplicity 8)
Tm1 0.0000 0.1464 0.7500 (multiplicity 4)
Tm2 0.1573 0.3433 0.7500 (multiplicity 8)
Tm3 0.1757 0.3240 0.2500 (multiplicity 8)

***

Compound: RbLi2InPb
Source: the Alexandria database
Functional: GGA-PBE
Structure: relaxed

Output
For the total moment, the calculation gives 0.000 μB/f.u. Its theoretical density is 3.876 g cm⁻³. The volume comes out at 36.10 A^3/atom. The energy of formation from the pure elements comes out at -0.047 eV/atom. Its energy above the most stable polymorph in this dataset is 0 meV/atom.

a b c (Å): 5.5043 5.5043 5.9581
angles (deg): 90.00 90.00 90.00
Space group P4/mmm (No. 123)
Symmetry-distinct sites (fractional):
Rb1 0.0000 0.0000 0.0000 (multiplicity 1)
Li1 0.0000 0.5000 0.5000 (multiplicity 2)
In1 0.5000 0.5000 0.0000 (multiplicity 1)
Pb1 0.5000 0.5000 0.5000 (multiplicity 1)

***

Compound: SmDyPu2S4
Source: the Alexandria database
Functional: GGA-PBE
Structure: relaxed

Output
The formation energy from raw total energies is -1.90 eV per atom. For the total moment, the calculation gives 0.076 μB/f.u. Its theoretical density is 8.801 g cm⁻³. The volume comes out at 21.91 A^3/atom.

a b c (Å): 6.8089 3.9541 6.9093
angles (deg): 90.00 109.54 90.00
Space group P2/m (No. 10)
Symmetry-distinct sites (fractional):
Sm1 0.0000 0.0000 0.0000 (multiplicity 1)
Dy1 0.0000 0.5000 0.5000 (multiplicity 1)
Pu1 0.5000 0.0000 0.5000 (multiplicity 1)
Pu2 0.5000 0.5000 0.0000 (multiplicity 1)
S1 0.2489 0.0000 0.7464 (multiplicity 2)
S2 0.2521 0.5000 0.2558 (multiplicity 2)

***

Compound: Mg5Pd4Au
Source: the Alexandria database
Functional: GGA-PBE
Structure: relaxed

Output
For the total moment, the calculation gives 0.000 μB/f.u. Its theoretical density is 7.480 g cm⁻³. The volume comes out at 16.52 A^3/atom. The energy of formation from the pure elements comes out at -0.708 eV/atom.

a b c (Å): 3.1960 3.1960 16.1745
angles (deg): 90.00 90.00 90.00
Space group P4/mmm (No. 123)
Symmetry-distinct sites (fractional):
Mg1 0.0000 0.0000 0.0000 (multiplicity 1)
Mg2 0.0000 0.0000 0.1952 (multiplicity 2)
Mg3 0.0000 0.0000 0.3911 (multiplicity 2)
Pd1 0.5000 0.5000 0.0967 (multiplicity 2)
Pd2 0.5000 0.5000 0.2926 (multiplicity 2)
Au1 0.5000 0.5000 0.5000 (multiplicity 1)

***

Compound: Ho2ZrPd9
Source: the Alexandria database
Functional: GGA-PBE
Structure: relaxed

Output
For the total moment, the calculation gives 0.000 μB/f.u. Its theoretical density is 11.199 g cm⁻³. The volume comes out at 17.04 A^3/atom. The energy of formation from the pure elements comes out at -0.876 eV/atom.

a b c (Å): 4.0807 4.0807 12.2785
angles (deg): 90.00 90.00 90.00
Space group P4/mmm (No. 123)
Symmetry-distinct sites (fractional):
Ho1 0.0000 0.0000 0.1676 (multiplicity 2)
Zr1 0.0000 0.0000 0.5000 (multiplicity 1)
Pd1 0.0000 0.5000 0.0000 (multiplicity 2)
Pd2 0.0000 0.5000 0.3400 (multiplicity 4)
Pd3 0.5000 0.5000 0.1705 (multiplicity 2)
Pd4 0.5000 0.5000 0.5000 (multiplicity 1)

***

Compound: Mo15Se19
Source: the Alexandria database
Functional: GGA-PBE
Structure: relaxed

Output
The formation energy from raw total energies is -0.51 eV per atom. For the total moment, the calculation gives 0.000 μB/f.u. Its theoretical density is 6.149 g cm⁻³. The volume comes out at 23.35 A^3/atom. Its energy above the most stable polymorph in this dataset is 0 meV/atom.

a b c (Å): 9.6140 9.6140 19.8340
angles (deg): 90.00 90.00 120.00
Space group P6_3/m (No. 176)
Symmetry-distinct sites (fractional):
Mo1 0.0211 0.8498 0.0595 (multiplicity 12)
Mo2 0.1658 0.6542 0.2500 (multiplicity 6)
Mo3 0.1825 0.4958 0.1334 (multiplicity 12)
Se1 0.0000 0.0000 0.1610 (multiplicity 4)
Se2 0.0032 0.6284 0.1440 (multiplicity 12)
Se3 0.0359 0.7082 0.5480 (multiplicity 12)
Se4 0.0366 0.3425 0.2500 (multiplicity 6)
Se5 0.3333 0.6667 0.0317 (multiplicity 4)

***

The highest total moment belongs to which entry?
Mn3Be8Re